No. 1
## Rb2ZnInHg6 (GGA-PBE)

Data for crystalline Rb2ZnInHg6 at its relaxed geometry.

Unit cell a=7.8662 b=7.8531 c=10.8350 alpha=90.00 beta=90.00 gamma=90.00
Element x y z (fractional)
Rb 0.5000 0.7323 0.7238
Hg 0.6903 0.0208 0.0000
Hg 0.7838 0.6009 0.0000
Rb 0.0000 0.2677 0.2238
Hg 0.1903 0.9792 0.5000
Rb 0.0000 0.2677 0.7762
Hg 0.3097 0.0208 0.0000
Hg 0.5000 0.2269 0.7434
In 0.0000 0.6373 0.5000
Hg 0.5000 0.2269 0.2566
Hg 0.8097 0.9792 0.5000
Hg 0.2162 0.6009 0.0000
Zn 0.0000 0.8841 0.0000
Hg 0.0000 0.7731 0.2434
Zn 0.5000 0.1159 0.5000
In 0.5000 0.3627 0.0000
Rb 0.5000 0.7323 0.2762
Hg 0.7162 0.3991 0.5000
Hg 0.0000 0.7731 0.7566
Hg 0.2838 0.3991 0.5000

## Properties
Total magnetic moment ... 0.00 μB/f.u.
D(E_F) ... 0.429 states/eV/atom
ΔH_f (0 K) ... -128.8 meV per atom

=====

No. 2
## RbZnInHg2 (GGA-PBE)

Data for crystalline RbZnInHg2 at its relaxed geometry.

Unit cell a=5.7617 b=5.7617 c=5.4167 alpha=90.00 beta=90.00 gamma=90.00
Element x y z (fractional)
Zn 0.0000 0.0000 0.5000
In 0.0000 0.0000 0.0000
Rb 0.5000 0.5000 0.5000
Hg 0.0000 0.5000 0.0000
Hg 0.5000 0.0000 0.0000

## Properties
Total magnetic moment ... 0.00 μB/f.u.
D(E_F) ... 0.513 states/eV/atom
ΔH_f (0 K) ... 15.0 meV per atom

=====

No. 3
## RbZnInHg2 (GGA-PBE)

Data for crystalline RbZnInHg2 at its relaxed geometry.

Unit cell a=5.4959 b=5.4959 c=5.3316 alpha=90.00 beta=90.00 gamma=90.00
Element x y z (fractional)
In 0.0000 0.0000 0.5000
Hg 0.0000 0.5000 0.0000
Zn 0.0000 0.0000 0.0000
Hg 0.5000 0.0000 0.0000
Rb 0.5000 0.5000 0.5000

## Properties
Total magnetic moment ... 0.00 μB/f.u.
D(E_F) ... 0.265 states/eV/atom
ΔH_f (0 K) ... -35.0 meV per atom

=====

No. 4
## InRe3Hg (GGA-PBE)

Data for crystalline InRe3Hg at its relaxed geometry.

Unit cell a=4.8542 b=4.8542 c=4.8542 alpha=90.00 beta=90.00 gamma=90.00
Site moments in Bohr magnetons follow the coordinates.
Element x y z (fractional)
Re 0.5000 0.0000 0.0000  0.88
Re 0.0000 0.0000 0.5000  1.04
Hg 0.5000 0.5000 0.5000  -0.01
Re 0.0000 0.5000 0.0000  0.96
In 0.0000 0.0000 0.0000  0.01

## Properties
Total magnetic moment ... 3.21 μB/f.u.
D(E_F) ... 1.558 states/eV/atom
ΔH_f (0 K) ... 2994.4 meV per atom

=====

No. 5
## InReHg3 (GGA-PBE)

Data for crystalline InReHg3 at its relaxed geometry.

Unit cell a=5.3036 b=5.3036 c=5.3036 alpha=90.00 beta=90.00 gamma=90.00
Element x y z (fractional)
Hg 0.5000 0.0000 0.0000
Re 0.0000 0.0000 0.0000
Hg 0.0000 0.5000 0.0000
Hg 0.0000 0.0000 0.5000
In 0.5000 0.5000 0.5000

## Properties
Total magnetic moment ... 0.00 μB/f.u.
D(E_F) ... 0.768 states/eV/atom
ΔH_f (0 K) ... 817.7 meV per atom

=====

No. 6
## InRe4Hg (GGA-PBE)

Data for crystalline InRe4Hg at its relaxed geometry.

Unit cell a=5.3102 b=5.3102 c=5.3102 alpha=60.00 beta=60.00 gamma=60.00
Element x y z (fractional)
Re 0.8742 0.3753 0.3753
Re 0.3753 0.3753 0.8742
Re 0.3753 0.3753 0.3753
Re 0.3753 0.8742 0.3753
In 0.0000 0.0000 0.0000
Hg 0.7500 0.7500 0.7500

## Properties
Total magnetic moment ... 0.00 μB/f.u.
D(E_F) ... 0.779 states/eV/atom
ΔH_f (0 K) ... 723.7 meV per atom